1.
Material: Tb2Mo2O7
Method: DFT, PBE+U
State: relaxed

Geometry as POSCAR:
```
Tb2Mo2O7
1.0
6.3876 0.0000 3.6879
2.1292 6.0223 3.6879
0.0000 0.0000 7.3758
O Tb Mo
14 4 4
Direct
0.0370 0.4630 0.4630
0.7870 0.2130 0.2130
0.4630 0.0370 0.4630
0.4630 0.4630 0.0370
0.5000 0.5000 0.5000
0.0370 0.0370 0.4630
0.7870 0.2130 0.7870
0.4630 0.0370 0.0370
0.7500 0.7500 0.7500
0.2130 0.2130 0.7870
0.0370 0.4630 0.0370
0.2130 0.7870 0.2130
0.7870 0.7870 0.2130
0.2130 0.7870 0.7870
0.6250 0.1250 0.6250
0.6250 0.6250 0.1250
0.1250 0.6250 0.6250
0.6250 0.6250 0.6250
0.1250 0.6250 0.1250
0.1250 0.1250 0.6250
0.6250 0.1250 0.1250
0.1250 0.1250 0.1250
```

## Properties
The space-group type is Fd-3m. As for the total DFT energy (no corrections): -7.855 eV per atom. Its crystal system is cubic.

---

2.
Material: TbMo2O8
Method: DFT, PBE+U
State: relaxed

Geometry as POSCAR:
```
TbMo2O8
1.0
-2.9203 3.8747 -0.3106
-1.2559 -0.5729 4.6618
6.2964 1.6442 -0.6369
O Mo Tb
8 2 1
Direct
0.8778 0.3815 0.2886
0.9071 0.8778 0.2886
0.5892 0.6185 0.7114
0.3815 0.4108 0.2886
0.0929 0.5892 0.7114
0.4108 0.9071 0.2886
0.1222 0.0929 0.7114
0.6185 0.1222 0.7114
0.7500 0.2500 0.5000
0.2500 0.7500 0.5000
0.5000 0.5000 0.0000
```

## Properties
The space-group type is I422. As for the total DFT energy (no corrections): -6.778 eV per atom. Its crystal system is tetragonal.

---

3.
Material: Tb2Mo4O15
Method: DFT, PBE+U
State: relaxed

Geometry as POSCAR:
```
Tb2Mo4O15
1.0
9.7499 0.0000 0.0000
0.0000 6.9386 0.0018
0.0000 2.8016 10.4704
O Tb Mo
30 4 8
Direct
0.3355 0.8857 0.5995
0.2758 0.6147 0.8484
0.9483 0.1271 0.1849
0.0000 0.5000 0.0000
0.8488 0.7816 0.4180
0.6363 0.7572 0.6168
0.9734 0.4554 0.2898
0.6277 0.0272 0.1001
0.6645 0.1143 0.4005
0.5000 0.5000 0.5000
0.7758 0.3853 0.6516
0.4734 0.5446 0.2102
0.8355 0.1143 0.9005
0.2242 0.6147 0.3484
0.6512 0.7816 0.9180
0.8637 0.7572 0.1168
0.0517 0.8729 0.8151
0.3723 0.9728 0.8999
0.3488 0.2184 0.0820
0.1363 0.2428 0.8832
0.1512 0.2184 0.5820
0.5517 0.1271 0.6849
0.4483 0.8729 0.3151
0.1645 0.8857 0.0995
0.3637 0.2428 0.3832
0.8723 0.0272 0.6001
0.7242 0.3853 0.1516
0.0266 0.5446 0.7102
0.1277 0.9728 0.3999
0.5266 0.4554 0.7898
0.0236 0.7932 0.2752
0.4764 0.7932 0.7752
0.9764 0.2068 0.7248
0.5236 0.2068 0.2248
0.9060 0.3836 0.1559
0.4060 0.6164 0.3441
0.5940 0.3836 0.6559
0.2435 0.0808 0.4902
0.2565 0.0808 0.9902
0.0940 0.6164 0.8441
0.7565 0.9192 0.5098
0.7435 0.9192 0.0098
```

## Properties
The space-group type is P2_1/c. As for the total DFT energy (no corrections): -7.461 eV per atom. Its crystal system is monoclinic.

---

4.
Material: Tb2Mo3O12
Method: DFT, PBE+U
State: relaxed

Geometry as POSCAR:
```
Tb2Mo3O12
1.0
10.5464 0.0000 0.0000
0.0000 10.5575 0.0000
0.0000 0.0000 10.7552
Mo O Tb
12 48 8
Direct
0.2544 0.7465 0.0003
0.7066 0.0067 0.3563
0.2066 0.4933 0.3563
0.7456 0.2535 0.0003
0.4987 0.7069 0.6443
0.7934 0.5067 0.3563
0.7544 0.7535 0.0003
0.0013 0.2069 0.6443
0.2934 0.9933 0.3563
0.2456 0.2465 0.0003
0.9987 0.7931 0.6443
0.5013 0.2931 0.6443
0.1285 0.8753 0.7137
0.8768 0.3742 0.2939
0.6506 0.3557 0.6919
0.1456 0.3461 0.3012
0.6821 0.8720 0.9045
0.3494 0.6443 0.6919
0.1748 0.3634 0.9017
0.1232 0.6258 0.2939
0.1821 0.6280 0.9045
0.8179 0.3720 0.9045
0.8050 0.5061 0.5216
0.8544 0.6539 0.3012
0.3179 0.1280 0.9045
0.3715 0.3753 0.7137
0.8494 0.8557 0.6919
0.6456 0.1539 0.3012
0.4966 0.1264 0.6926
0.3252 0.8634 0.9017
0.9873 0.1957 0.4795
0.8252 0.6366 0.9017
0.1385 0.8184 0.0997
0.3544 0.8461 0.3012
0.0127 0.8043 0.4795
0.8742 0.8248 0.0953
0.1265 0.0030 0.3087
0.9966 0.3736 0.6926
0.6385 0.6816 0.0997
0.6748 0.1366 0.9017
0.6258 0.3248 0.0953
0.6950 0.0061 0.5216
0.8615 0.1816 0.0997
0.1506 0.1443 0.6919
0.0034 0.6264 0.6926
0.8735 0.9970 0.3087
0.3768 0.1258 0.2939
0.6232 0.8742 0.2939
0.3615 0.3184 0.0997
0.5034 0.8736 0.6926
0.1950 0.4939 0.5216
0.5127 0.6957 0.4795
0.3742 0.6752 0.0953
0.1258 0.1752 0.0953
0.6265 0.4970 0.3087
0.4873 0.3043 0.4795
0.8715 0.1247 0.7137
0.6285 0.6247 0.7137
0.3735 0.5030 0.3087
0.3050 0.9939 0.5216
0.1876 0.4980 0.7375
0.5035 0.6875 0.2634
0.4965 0.3125 0.2634
0.9965 0.1875 0.2634
0.6876 0.0020 0.7375
0.3124 0.9980 0.7375
0.8124 0.5020 0.7375
0.0035 0.8125 0.2634
```

## Properties
The space-group type is Pba2. As for the total DFT energy (no corrections): -7.558 eV per atom. Its crystal system is orthorhombic.